Tm8AlTe2 | GGA-PBE | optimized geometry

Cell: 8.469 8.469 6.169 Å, 91.90 91.90 45.27°
Positions (direct):
Tm1 0.082 0.082 0.373
Tm2 0.153 0.659 0.152
Tm3 0.299 0.299 0.611
Tm4 0.341 0.847 0.848
Tm5 0.659 0.153 0.152
Tm6 0.701 0.701 0.389
Tm7 0.847 0.341 0.848
Tm8 0.918 0.918 0.627
Al1 0.500 0.500 0.500
Te1 0.239 0.239 0.116
Te2 0.761 0.761 0.884

The space group is No. 12. The energy relative to the elements, uncorrected comes out at -377 meV per atom. Its total DFT energy (no corrections) is -49.9 eV/f.u.